First-principles (GGA-PBE) data for a relaxed structure of NbBiAs, as listed in the Alexandria database.

Theoretical density, g/cm³: 7.788
Formation energy from the elements, eV per formula unit: 0.23
Crystal system: tetragonal
Space group: No. 84
Total magnetic moment, μB/atom: 0.000

Cell and atoms, written as POSCAR:
```
NbBiAs
1.0
-2.425 -2.023 -1.303
6.165 -7.486 0.150
-2.943 -2.244 8.965
Nb As Bi
4 4 4
Direct
0.000 0.747 0.715
0.500 0.285 0.747
0.500 0.715 0.253
0.000 0.253 0.285
0.000 0.478 0.742
0.500 0.258 0.478
0.000 0.522 0.258
0.500 0.742 0.522
0.500 0.739 0.956
0.500 0.261 0.044
0.000 0.044 0.739
0.000 0.956 0.261
```